Record 1
5
Lattice="4.003 0.000 0.000 0.000 4.619 0.000 0.000 0.000 4.003" Properties=species:S:1:pos:R:3 comment="ScGaCO2 (PBE-GGA, relaxed)" final_energy_ev_per_cell=-29.66 e_form_raw_mev_per_atom=-232 magmom_total_mub_per_fu=1.6 pbc="T T T"
O 0.000 0.000 2.002
O 2.002 0.000 0.000
Sc 0.000 0.000 0.000
Ga 2.002 2.309 2.002
C 0.000 2.309 0.000


Record 2
19
Lattice="-3.410 6.410 -5.848 -5.935 -7.187 0.173 0.248 3.734 8.538" Properties=species:S:1:pos:R:3 comment="Tb12PrHo6 (PBE-GGA, relaxed)" final_energy_ev_per_cell=-79.58 formation_enthalpy_0k_ev_per_atom=0.43 magmom_total_mub_per_fu=0.0 polymorph_energy_mev_per_atom=281 pbc="T T T"
Ho -3.695 5.100 1.888
Ho -2.757 2.528 4.553
Ho -4.322 3.672 -1.600
Ho -4.775 -0.715 4.463
Ho -6.339 0.429 -1.690
Ho -5.401 -2.143 0.975
Tb -6.980 0.307 1.832
Tb -2.139 5.735 4.692
Tb -2.660 -0.276 2.327
Tb -3.447 0.299 -0.769
Tb -3.123 0.436 7.038
Tb -5.974 2.521 -4.175
Tb -5.649 2.657 3.632
Tb -6.437 3.233 0.536
Tb -2.117 2.650 1.031
Tb -6.958 -2.778 -1.829
Tb -3.564 6.777 -0.915
Tb -5.532 -3.821 3.778
Pr 0.000 0.000 0.000


Record 3
4
Lattice="-1.457 1.081 2.989 3.485 -3.388 2.924 3.936 4.349 0.347" Properties=species:S:1:pos:R:3 comment="KMgSc2 (PBE-GGA, relaxed)" final_energy_ev_per_cell=-13.38 formation_enthalpy_0k_ev_per_atom=0.49 magmom_total_mub_per_fu=0.0 pbc="T T T"
K 1.240 2.715 1.668
Sc 1.014 -1.154 2.956
Sc 0.000 0.000 0.000
Mg 3.711 0.480 1.635


Record 4
12
Lattice="-2.923 -2.972 4.667 3.160 -3.271 -4.298 9.627 2.834 6.439" Properties=species:S:1:pos:R:3 comment="La2Tb6Sm3Dy (PBE-GGA, relaxed)" final_energy_ev_per_cell=-56.21 formation_enthalpy_0k_ev_per_atom=0.02 magmom_total_mub_per_fu=0.0 pbc="T T T"
Dy 0.000 0.000 0.000
Tb 2.605 -3.982 1.901
Tb 7.259 0.573 4.907
Tb 8.392 -2.609 3.605
Tb 1.473 -0.800 3.203
Tb 6.371 -2.510 6.583
Tb 3.494 -0.899 0.224
La -0.893 -3.072 1.676
La 1.131 -3.171 -1.307
Sm 2.904 -1.605 6.393
Sm 6.961 -1.804 0.415
Sm 4.932 -1.705 3.404